No. 1
ZnFe2Ir3 | GGA-PBE | optimized geometry

Cell lengths 2.719, 2.719, 10.892 Å; angles 90.00, 90.00, 90.00 degrees
Each line ends with the local moment (μB).
Element x y z (fractional)
Zn (0.500, 0.500, 0.500)  -0.01
Fe (0.500, 0.500, 0.835)  2.08
Fe (0.500, 0.500, 0.165)  2.08
Ir (0.000, 0.000, 0.000)  -0.02
Ir (0.000, 0.000, 0.678)  0.06
Ir (0.000, 0.000, 0.322)  0.06

## Properties
**Formation energy from the elements**: -72 meV/atom
**Symmetry**: No. 123
**M_tot**: 4.3 μB per formula unit

=====

No. 2
ZnFe4Ir | GGA-PBE | optimized geometry

Cell lengths 4.746, 4.746, 4.746 Å; angles 60.00, 60.00, 60.00 degrees
Each line ends with the local moment (μB).
Element x y z (fractional)
Zn (0.000, 0.000, 0.000)  -0.06
Fe (0.875, 0.375, 0.375)  2.28
Fe (0.375, 0.375, 0.875)  2.28
Fe (0.375, 0.875, 0.375)  2.28
Fe (0.375, 0.375, 0.375)  2.28
Ir (0.750, 0.750, 0.750)  0.66

## Properties
**Formation energy from the elements**: 65 meV/atom
**Symmetry**: No. 216
**M_tot**: 9.8 μB per formula unit

=====

No. 3
ZnFeIr2 | GGA-PBE | optimized geometry

Cell lengths 5.133, 5.133, 5.133 Å; angles 148.43, 126.28, 63.66 degrees
Each line ends with the local moment (μB).
Element x y z (fractional)
Fe (0.250, 0.750, 0.500)  2.84
Ir (0.006, 0.006, 0.000)  0.34
Ir (0.494, 0.494, 0.000)  0.34
Zn (0.750, 0.250, 0.500)  -0.03

## Properties
**Formation energy from the elements**: 13 meV/atom
**Symmetry**: No. 71
**M_tot**: 3.5 μB per formula unit

=====

No. 4
ZnFe2Ir | GGA-PBE | optimized geometry

Cell lengths 3.853, 3.700, 3.700 Å; angles 90.00, 90.00, 90.00 degrees
Each line ends with the local moment (μB).
Element x y z (fractional)
Zn (0.500, 0.000, 0.500)  -0.04
Ir (0.500, 0.500, 0.000)  0.52
Fe (0.000, 0.000, 0.000)  2.79
Fe (0.000, 0.500, 0.500)  2.79

## Properties
**Formation energy from the elements**: -55 meV/atom
**Symmetry**: No. 123
**M_tot**: 6.1 μB per formula unit

=====

No. 5
ZnFe2Ir | GGA-PBE | optimized geometry

Cell lengths 2.619, 2.619, 8.604 Å; angles 90.00, 90.00, 114.25 degrees
Each line ends with the local moment (μB).
Element x y z (fractional)
Fe (0.000, 0.000, 0.998)  2.69
Fe (0.000, 0.000, 0.502)  2.69
Ir (0.500, 0.500, 0.250)  0.61
Zn (0.500, 0.500, 0.750)  -0.06

## Properties
**Formation energy from the elements**: 112 meV/atom
**Symmetry**: No. 65
**M_tot**: 5.9 μB per formula unit

=====

No. 6
ZnFeIr4 | GGA-PBE | optimized geometry

Cell lengths 2.730, 2.730, 11.335 Å; angles 90.00, 90.00, 90.00 degrees
Each line ends with the local moment (μB).
Element x y z (fractional)
Zn (0.500, 0.500, 0.500)  0.00
Fe (0.000, 0.000, 0.000)  2.50
Ir (0.500, 0.500, 0.161)  0.00
Ir (0.000, 0.000, 0.672)  -0.15
Ir (0.000, 0.000, 0.328)  -0.15
Ir (0.500, 0.500, 0.839)  0.00

## Properties
**Formation energy from the elements**: -35 meV/atom
**Energy above the lowest structure with this stoichiometry**: 0 meV per atom
**Symmetry**: No. 123
**M_tot**: 2.2 μB per formula unit

=====

No. 7
ZnFeIr2 | GGA-PBE | optimized geometry

Cell lengths 8.757, 8.757, 8.757 Å; angles 17.93, 17.93, 17.93 degrees
Each line ends with the local moment (μB).
Element x y z (fractional)
Fe (0.749, 0.749, 0.749)  2.52
Ir (0.003, 0.003, 0.003)  -0.01
Ir (0.249, 0.249, 0.249)  -0.30
Zn (0.498, 0.498, 0.498)  -0.01

## Properties
**Formation energy from the elements**: 7 meV/atom
**Symmetry**: No. 160
**M_tot**: 2.2 μB per formula unit

=====

No. 8
ZnFeIr2 | GGA-PBE | optimized geometry

Cell lengths 2.820, 4.630, 4.313 Å; angles 90.00, 90.00, 90.00 degrees
Each line ends with the local moment (μB).
Element x y z (fractional)
Fe (0.000, 0.500, 0.500)  2.77
Ir (0.000, 0.000, 0.000)  0.20
Ir (0.500, 0.500, 0.000)  0.44
Zn (0.500, 0.000, 0.500)  -0.03

## Properties
**Formation energy from the elements**: 52 meV/atom
**Symmetry**: No. 47
**M_tot**: 3.4 μB per formula unit

=====

No. 9
ZnFeIr2 | GGA-PBE | optimized geometry

Cell lengths 3.868, 2.717, 5.922 Å; angles 62.57, 90.00, 90.00 degrees
Each line ends with the local moment (μB).
Element x y z (fractional)
Zn (0.000, 0.501, 0.499)  -0.02
Ir (0.000, 0.013, 0.987)  0.13
Ir (0.500, 0.242, 0.257)  0.11
Fe (0.500, 0.744, 0.757)  2.62

## Properties
**Formation energy from the elements**: -34 meV/atom
**Symmetry**: No. 6
**M_tot**: 2.9 μB per formula unit

=====

No. 10
ZnFe2Ir7 | GGA-PBE | optimized geometry

Cell lengths 2.709, 7.068, 8.489 Å; angles 106.73, 90.00, 90.00 degrees
Each line ends with the local moment (μB).
Element x y z (fractional)
Zn (0.000, 0.000, 0.000)  0.00
Fe (0.500, 0.829, 0.515)  2.59
Fe (0.500, 0.171, 0.485)  2.59
Ir (0.000, 0.582, 0.285)  0.01
Ir (0.000, 0.418, 0.715)  0.01
Ir (0.500, 0.744, 0.770)  0.00
Ir (0.500, 0.256, 0.230)  0.00
Ir (0.500, 0.881, 0.227)  0.12
Ir (0.500, 0.119, 0.773)  0.12
Ir (0.500, 0.500, 0.000)  -0.33

## Properties
**Formation energy from the elements**: 348 meV/atom
**Symmetry**: No. 10
**M_tot**: 5.2 μB per formula unit

=====

No. 11
ZnFeIr2 | GGA-PBE | optimized geometry

Cell lengths 4.302, 4.302, 4.302 Å; angles 60.00, 60.00, 60.00 degrees
Each line ends with the local moment (μB).
Element x y z (fractional)
Fe (0.500, 0.500, 0.500)  2.66
Ir (0.000, 0.000, 0.000)  0.12
Ir (0.750, 0.750, 0.750)  0.43
Zn (0.250, 0.250, 0.250)  -0.01

## Properties
**Formation energy from the elements**: 160 meV/atom
**Symmetry**: No. 216
**M_tot**: 3.2 μB per formula unit

=====

No. 12
ZnFe2Ir | GGA-PBE | optimized geometry

Cell lengths 4.974, 4.974, 4.974 Å; angles 145.41, 130.47, 61.82 degrees
Each line ends with the local moment (μB).
Element x y z (fractional)
Fe (0.998, 0.998, 0.000)  2.64
Fe (0.502, 0.502, 0.000)  2.64
Ir (0.750, 0.250, 0.500)  0.32
Zn (0.250, 0.750, 0.500)  -0.05

## Properties
**Formation energy from the elements**: 4 meV/atom
**Symmetry**: No. 71
**M_tot**: 5.5 μB per formula unit

=====

No. 13
ZnFe2Ir | GGA-PBE | optimized geometry

Cell lengths 4.583, 4.583, 2.662 Å; angles 89.98, 89.98, 110.94 degrees
Each line ends with the local moment (μB).
Element x y z (fractional)
Zn (0.000, 0.500, 0.500)  -0.07
Ir (0.500, 0.000, 0.500)  0.25
Fe (0.000, 0.000, 0.000)  2.53
Fe (0.500, 0.500, 0.000)  2.53

## Properties
**Formation energy from the elements**: -47 meV/atom
**Symmetry**: No. 65
**M_tot**: 5.2 μB per formula unit

=====

No. 14
ZnFeIr2 | GGA-PBE | optimized geometry

Cell lengths 6.970, 6.970, 5.550 Å; angles 51.10, 51.10, 90.00 degrees
Each line ends with the local moment (μB).
Element x y z (fractional)
Zn (0.000, 0.000, 0.000)  0.01
Zn (0.750, 0.250, 0.500)  0.01
Ir (0.589, 0.125, 0.250)  0.33
Ir (0.161, 0.625, 0.250)  0.31
Ir (0.375, 0.411, 0.750)  0.35
Ir (0.875, 0.839, 0.750)  0.34
Fe (0.500, 0.500, 0.000)  2.56
Fe (0.250, 0.750, 0.500)  2.56

## Properties
**Formation energy from the elements**: 448 meV/atom
**Symmetry**: No. 122
**M_tot**: 3.4 μB per formula unit

=====

No. 15
ZnFe2Ir | GGA-PBE | optimized geometry

Cell lengths 4.257, 2.663, 4.567 Å; angles 90.00, 90.00, 90.00 degrees
Each line ends with the local moment (μB).
Element x y z (fractional)
Fe (0.000, 0.125, 0.963)  2.39
Fe (0.500, 0.125, 0.284)  2.38
Ir (0.000, 0.625, 0.457)  0.15
Zn (0.500, 0.625, 0.796)  -0.06

## Properties
**Formation energy from the elements**: -41 meV/atom
**Symmetry**: No. 25
**M_tot**: 4.9 μB per formula unit

=====

No. 16
ZnFeIr2 | GGA-PBE | optimized geometry

Cell lengths 4.504, 4.504, 2.782 Å; angles 90.00, 90.00, 103.12 degrees
Each line ends with the local moment (μB).
Element x y z (fractional)
Fe (0.000, 0.500, 0.500)  2.58
Ir (0.000, 0.000, 0.000)  0.15
Ir (0.500, 0.500, 0.000)  0.15
Zn (0.500, 0.000, 0.500)  0.00

## Properties
**Formation energy from the elements**: -27 meV/atom
**Symmetry**: No. 65
**M_tot**: 2.9 μB per formula unit

=====

No. 17
ZnFe3Ir | GGA-PBE | optimized geometry

Cell lengths 4.291, 4.291, 4.291 Å; angles 90.00, 90.00, 90.00 degrees
Each line ends with the local moment (μB).
Element x y z (fractional)
Zn (0.000, 0.000, 0.000)  -0.13
Ir (0.500, 0.500, 0.500)  0.62
Fe (0.000, 0.500, 0.000)  2.87
Fe (0.000, 0.000, 0.500)  2.95
Fe (0.500, 0.000, 0.000)  2.67

## Properties
**Formation energy from the elements**: 1317 meV/atom
**Energy above the lowest structure with this stoichiometry**: 109 meV per atom
**Symmetry**: No. 221
**M_tot**: 9.0 μB per formula unit

=====

No. 18
ZnFe2Ir | GGA-PBE | optimized geometry

Cell lengths 3.793, 2.649, 5.846 Å; angles 62.66, 90.00, 90.00 degrees
Each line ends with the local moment (μB).
Element x y z (fractional)
Zn (0.500, 0.750, 0.750)  -0.06
Ir (0.500, 0.250, 0.250)  0.16
Fe (0.000, 0.998, 0.003)  2.47
Fe (0.000, 0.502, 0.497)  2.47

## Properties
**Formation energy from the elements**: -21 meV/atom
**Symmetry**: No. 10
**M_tot**: 5.1 μB per formula unit

=====

No. 19
ZnFe2Ir | GGA-PBE | optimized geometry

Cell lengths 8.672, 8.672, 8.672 Å; angles 17.74, 17.74, 17.74 degrees
Each line ends with the local moment (μB).
Element x y z (fractional)
Fe (0.000, 0.000, 0.000)  2.52
Fe (0.500, 0.500, 0.500)  2.52
Ir (0.250, 0.250, 0.250)  -0.19
Zn (0.750, 0.750, 0.750)  -0.05

## Properties
**Formation energy from the elements**: 47 meV/atom
**Symmetry**: No. 166
**M_tot**: 4.8 μB per formula unit

=====

No. 20
Zn2FeIr2 | GGA-PBE | optimized geometry

Cell lengths 6.342, 6.342, 3.845 Å; angles 90.00, 90.00, 90.00 degrees
Each line ends with the local moment (μB).
Element x y z (fractional)
Zn (0.167, 0.667, 0.500)  0.00
Zn (0.667, 0.833, 0.500)  0.00
Zn (0.833, 0.333, 0.500)  0.00
Zn (0.333, 0.167, 0.500)  0.00
Ir (0.361, 0.861, 0.000)  0.14
Ir (0.861, 0.639, 0.000)  0.16
Ir (0.639, 0.139, 0.000)  0.14
Ir (0.139, 0.361, 0.000)  0.16
Fe (0.000, 0.000, 0.000)  2.88
Fe (0.500, 0.500, 0.000)  2.87

## Properties
**Formation energy from the elements**: 77 meV/atom
**Symmetry**: No. 127
**M_tot**: 3.2 μB per formula unit